No. 1
# PBE-GGA HfBe2Cu9, optimized geometry
# * total moment: 0.00 μB/f.u.
# * total energy: -4.549 eV per atom
# * theoretical density: 8.71 g/cm3
# * energy relative to the elements: -0.03 eV per atom
data_HfBe2Cu9
_symmetry_space_group_name_H-M 'P 1'
_symmetry_Int_Tables_number 1
_cell_length_a 7.546
_cell_length_b 7.546
_cell_length_c 7.546
_cell_angle_alpha 99.64
_cell_angle_beta 99.64
_cell_angle_gamma 131.68
loop_
_symmetry_equiv_pos_as_xyz
'x,y,z'
loop_
_atom_site_label
_atom_site_type_symbol
_atom_site_fract_x
_atom_site_fract_y
_atom_site_fract_z
_atom_site_occupancy
Hf1 Hf 0.375 0.625 0.750 1
Hf2 Hf 0.625 0.375 0.250 1
Be1 Be 0.000 0.000 0.000 1
Be2 Be 0.000 0.000 0.500 1
Be3 Be 0.000 0.500 0.000 1
Be4 Be 0.500 0.000 0.500 1
Cu1 Cu 0.125 0.875 0.250 1
Cu2 Cu 0.131 0.560 0.326 1
Cu3 Cu 0.131 0.804 0.570 1
Cu4 Cu 0.196 0.266 0.326 1
Cu5 Cu 0.196 0.869 0.930 1
Cu6 Cu 0.266 0.196 0.826 1
Cu7 Cu 0.266 0.440 0.070 1
Cu8 Cu 0.440 0.266 0.570 1
Cu9 Cu 0.440 0.869 0.174 1
Cu10 Cu 0.560 0.131 0.826 1
Cu11 Cu 0.560 0.734 0.430 1
Cu12 Cu 0.734 0.560 0.930 1
Cu13 Cu 0.734 0.804 0.174 1
Cu14 Cu 0.804 0.131 0.070 1
Cu15 Cu 0.804 0.734 0.674 1
Cu16 Cu 0.869 0.196 0.430 1
Cu17 Cu 0.869 0.440 0.674 1
Cu18 Cu 0.875 0.125 0.750 1

No. 2
# PBE-GGA Ta2TiBe6, optimized geometry
# * total moment: 0.00 μB/f.u.
# * total energy: -6.192 eV per atom
# * theoretical density: 7.46 g/cm3
# * energy relative to the elements: -0.20 eV per atom
data_Ta2TiBe6
_symmetry_space_group_name_H-M 'P 1'
_symmetry_Int_Tables_number 1
_cell_length_a 6.354
_cell_length_b 6.354
_cell_length_c 2.954
_cell_angle_alpha 90.00
_cell_angle_beta 90.00
_cell_angle_gamma 120.00
loop_
_symmetry_equiv_pos_as_xyz
'x,y,z'
loop_
_atom_site_label
_atom_site_type_symbol
_atom_site_fract_x
_atom_site_fract_y
_atom_site_fract_z
_atom_site_occupancy
Ta1 Ta 0.333 0.667 0.000 1
Ta2 Ta 0.667 0.333 0.000 1
Ti1 Ti 0.000 0.000 0.000 1
Be1 Be 0.000 0.332 0.500 1
Be2 Be 0.000 0.668 0.500 1
Be3 Be 0.332 0.000 0.500 1
Be4 Be 0.332 0.332 0.500 1
Be5 Be 0.668 0.000 0.500 1
Be6 Be 0.668 0.668 0.500 1

No. 3
# PBE-GGA LiSiPb2, optimized geometry
# * total moment: 0.00 μB/f.u.
# * total energy: -3.508 eV per atom
# * ΔE_f (raw): 0.18 eV/atom
# * theoretical density: 7.44 g/cm3
data_LiSiPb2
_symmetry_space_group_name_H-M 'P 1'
_symmetry_Int_Tables_number 1
_cell_length_a 8.459
_cell_length_b 8.459
_cell_length_c 8.459
_cell_angle_alpha 25.71
_cell_angle_beta 25.71
_cell_angle_gamma 25.71
loop_
_symmetry_equiv_pos_as_xyz
'x,y,z'
loop_
_atom_site_label
_atom_site_type_symbol
_atom_site_fract_x
_atom_site_fract_y
_atom_site_fract_z
_atom_site_occupancy
Li1 Li 0.000 0.000 0.000 1
Si1 Si 0.500 0.500 0.500 1
Pb1 Pb 0.242 0.242 0.242 1
Pb2 Pb 0.758 0.758 0.758 1

No. 4
# PBE-GGA Pm4CdSn3, optimized geometry
# * total moment: 0.03 μB/f.u.
# * total energy: -4.639 eV per atom
# * theoretical density: 7.30 g/cm3
# * energy relative to the elements: -0.65 eV per atom
data_Pm4CdSn3
_symmetry_space_group_name_H-M 'P 1'
_symmetry_Int_Tables_number 1
_cell_length_a 4.444
_cell_length_b 4.565
_cell_length_c 11.761
_cell_angle_alpha 90.00
_cell_angle_beta 90.00
_cell_angle_gamma 90.00
loop_
_symmetry_equiv_pos_as_xyz
'x,y,z'
loop_
_atom_site_label
_atom_site_type_symbol
_atom_site_fract_x
_atom_site_fract_y
_atom_site_fract_z
_atom_site_occupancy
Pm1 Pm 0.000 0.000 0.000 1
Pm2 Pm 0.000 0.500 0.498 1
Pm3 Pm 0.500 0.000 0.273 1
Pm4 Pm 0.500 0.500 0.775 1
Cd1 Cd 0.500 0.000 0.554 1
Sn1 Sn 0.000 0.000 0.721 1
Sn2 Sn 0.000 0.500 0.225 1
Sn3 Sn 0.500 0.500 0.047 1

No. 5
# PBE-GGA GaH6Ir, optimized geometry
# * total moment: 0.09 μB/f.u.
# * total energy: -3.995 eV per atom
# * theoretical density: 4.37 g/cm3
data_GaH6Ir
_symmetry_space_group_name_H-M 'P 1'
_symmetry_Int_Tables_number 1
_cell_length_a 4.663
_cell_length_b 5.098
_cell_length_c 5.180
_cell_angle_alpha 80.37
_cell_angle_beta 63.27
_cell_angle_gamma 67.87
loop_
_symmetry_equiv_pos_as_xyz
'x,y,z'
loop_
_atom_site_label
_atom_site_type_symbol
_atom_site_fract_x
_atom_site_fract_y
_atom_site_fract_z
_atom_site_occupancy
Ga1 Ga 0.000 0.000 0.000 1
H1 H 0.189 0.305 0.000 1
H2 H 0.249 0.844 0.270 1
H3 H 0.481 0.157 0.270 1
H4 H 0.519 0.843 0.730 1
H5 H 0.751 0.156 0.730 1
H6 H 0.811 0.695 0.000 1
Ir1 Ir 0.500 0.000 0.000 1

No. 6
# PBE-GGA SrErIn6, optimized geometry
# * total moment: 0.00 μB/f.u.
# * total energy: -3.179 eV per atom
# * theoretical density: 7.36 g/cm3
# * energy relative to the elements: -0.34 eV per atom
data_SrErIn6
_symmetry_space_group_name_H-M 'P 1'
_symmetry_Int_Tables_number 1
_cell_length_a 4.733
_cell_length_b 4.733
_cell_length_c 9.501
_cell_angle_alpha 90.00
_cell_angle_beta 90.00
_cell_angle_gamma 90.00
loop_
_symmetry_equiv_pos_as_xyz
'x,y,z'
loop_
_atom_site_label
_atom_site_type_symbol
_atom_site_fract_x
_atom_site_fract_y
_atom_site_fract_z
_atom_site_occupancy
Sr1 Sr 0.000 0.000 0.000 1
Er1 Er 0.000 0.000 0.500 1
In1 In 0.000 0.500 0.260 1
In2 In 0.000 0.500 0.740 1
In3 In 0.500 0.000 0.260 1
In4 In 0.500 0.000 0.740 1
In5 In 0.500 0.500 0.000 1
In6 In 0.500 0.500 0.500 1

No. 7
# PBE-GGA NdSm4Si4, optimized geometry
# * total moment: 0.00 μB/f.u.
# * total energy: -5.485 eV per atom
# * ΔE_f (raw): -0.45 eV/atom
# * theoretical density: 5.78 g/cm3
data_NdSm4Si4
_symmetry_space_group_name_H-M 'P 1'
_symmetry_Int_Tables_number 1
_cell_length_a 9.125
_cell_length_b 9.125
_cell_length_c 5.920
_cell_angle_alpha 90.00
_cell_angle_beta 90.00
_cell_angle_gamma 90.00
loop_
_symmetry_equiv_pos_as_xyz
'x,y,z'
loop_
_atom_site_label
_atom_site_type_symbol
_atom_site_fract_x
_atom_site_fract_y
_atom_site_fract_z
_atom_site_occupancy
Nd1 Nd 0.250 0.250 0.250 1
Nd2 Nd 0.750 0.750 0.750 1
Sm1 Sm 0.067 0.663 0.122 1
Sm2 Sm 0.163 0.933 0.622 1
Sm3 Sm 0.337 0.567 0.622 1
Sm4 Sm 0.433 0.837 0.122 1
Sm5 Sm 0.567 0.163 0.878 1
Sm6 Sm 0.663 0.433 0.378 1
Sm7 Sm 0.837 0.067 0.378 1
Sm8 Sm 0.933 0.337 0.878 1
Si1 Si 0.021 0.612 0.614 1
Si2 Si 0.112 0.979 0.114 1
Si3 Si 0.388 0.521 0.114 1
Si4 Si 0.479 0.888 0.614 1
Si5 Si 0.521 0.112 0.386 1
Si6 Si 0.612 0.479 0.886 1
Si7 Si 0.888 0.021 0.886 1
Si8 Si 0.979 0.388 0.386 1

No. 8
# PBE-GGA Ti4Ga3Pd, optimized geometry
# * total moment: 2.61 μB/f.u.
# * total energy: -5.805 eV per atom
# * theoretical density: 5.82 g/cm3
# * energy relative to the elements: -0.07 eV per atom
# * E above lowest polymorph: 168 meV/atom
data_Ti4Ga3Pd
_symmetry_space_group_name_H-M 'P 1'
_symmetry_Int_Tables_number 1
_cell_length_a 10.768
_cell_length_b 10.768
_cell_length_c 3.972
_cell_angle_alpha 90.00
_cell_angle_beta 90.00
_cell_angle_gamma 161.69
loop_
_symmetry_equiv_pos_as_xyz
'x,y,z'
loop_
_atom_site_label
_atom_site_type_symbol
_atom_site_fract_x
_atom_site_fract_y
_atom_site_fract_z
_atom_site_occupancy
Ti1 Ti 0.098 0.902 0.000 1
Ti2 Ti 0.196 0.804 0.500 1
Ti3 Ti 0.804 0.196 0.500 1
Ti4 Ti 0.902 0.098 0.000 1
Ga1 Ga 0.300 0.700 0.000 1
Ga2 Ga 0.500 0.500 0.000 1
Ga3 Ga 0.700 0.300 0.000 1
Pd1 Pd 0.000 0.000 0.500 1

No. 9
# PBE-GGA Li2Be2Pt, optimized geometry
# * total moment: 0.00 μB/f.u.
# * total energy: -3.551 eV per atom
# * theoretical density: 6.64 g/cm3
# * energy relative to the elements: -0.09 eV per atom
# * E above lowest polymorph: 0 meV/atom
data_Li2Be2Pt
_symmetry_space_group_name_H-M 'P 1'
_symmetry_Int_Tables_number 1
_cell_length_a 6.194
_cell_length_b 6.194
_cell_length_c 2.957
_cell_angle_alpha 90.00
_cell_angle_beta 90.00
_cell_angle_gamma 90.00
loop_
_symmetry_equiv_pos_as_xyz
'x,y,z'
loop_
_atom_site_label
_atom_site_type_symbol
_atom_site_fract_x
_atom_site_fract_y
_atom_site_fract_z
_atom_site_occupancy
Li1 Li 0.168 0.332 0.000 1
Li2 Li 0.332 0.832 0.000 1
Li3 Li 0.668 0.168 0.000 1
Li4 Li 0.832 0.668 0.000 1
Be1 Be 0.131 0.631 0.500 1
Be2 Be 0.369 0.131 0.500 1
Be3 Be 0.631 0.869 0.500 1
Be4 Be 0.869 0.369 0.500 1
Pt1 Pt 0.000 0.000 0.500 1
Pt2 Pt 0.500 0.500 0.500 1

No. 10
# PBE-GGA Mg2Al2CuAg5, optimized geometry
# * total moment: 0.00 μB/f.u.
# * total energy: -2.910 eV per atom
# * theoretical density: 6.40 g/cm3
# * energy relative to the elements: -0.01 eV per atom
data_Mg2Al2CuAg5
_symmetry_space_group_name_H-M 'P 1'
_symmetry_Int_Tables_number 1
_cell_length_a 10.018
_cell_length_b 10.018
_cell_length_c 3.648
_cell_angle_alpha 90.00
_cell_angle_beta 90.00
_cell_angle_gamma 90.00
loop_
_symmetry_equiv_pos_as_xyz
'x,y,z'
loop_
_atom_site_label
_atom_site_type_symbol
_atom_site_fract_x
_atom_site_fract_y
_atom_site_fract_z
_atom_site_occupancy
Mg1 Mg 0.169 0.331 0.000 1
Mg2 Mg 0.331 0.831 0.000 1
Mg3 Mg 0.669 0.169 0.000 1
Mg4 Mg 0.831 0.669 0.000 1
Al1 Al 0.134 0.634 0.000 1
Al2 Al 0.366 0.134 0.000 1
Al3 Al 0.634 0.866 0.000 1
Al4 Al 0.866 0.366 0.000 1
Cu1 Cu 0.000 0.000 0.000 1
Cu2 Cu 0.500 0.500 0.000 1
Ag1 Ag 0.000 0.500 0.500 1
Ag2 Ag 0.045 0.803 0.500 1
Ag3 Ag 0.197 0.045 0.500 1
Ag4 Ag 0.303 0.545 0.500 1
Ag5 Ag 0.455 0.303 0.500 1
Ag6 Ag 0.500 0.000 0.500 1
Ag7 Ag 0.545 0.697 0.500 1
Ag8 Ag 0.697 0.455 0.500 1
Ag9 Ag 0.803 0.955 0.500 1
Ag10 Ag 0.955 0.197 0.500 1

No. 11
# PBE-GGA LiAg2Sn3, optimized geometry
# * total moment: 0.00 μB/f.u.
# * total energy: -3.203 eV per atom
# * theoretical density: 6.78 g/cm3
# * energy relative to the elements: 0.07 eV per atom
# * E above lowest polymorph: 144 meV/atom
data_LiAg2Sn3
_symmetry_space_group_name_H-M 'P 1'
_symmetry_Int_Tables_number 1
_cell_length_a 8.927
_cell_length_b 8.927
_cell_length_c 8.927
_cell_angle_alpha 159.41
_cell_angle_beta 145.40
_cell_angle_gamma 40.60
loop_
_symmetry_equiv_pos_as_xyz
'x,y,z'
loop_
_atom_site_label
_atom_site_type_symbol
_atom_site_fract_x
_atom_site_fract_y
_atom_site_fract_z
_atom_site_occupancy
Li1 Li 0.000 0.000 0.000 1
Ag1 Ag 0.354 0.354 0.000 1
Ag2 Ag 0.646 0.646 0.000 1
Sn1 Sn 0.184 0.184 0.000 1
Sn2 Sn 0.500 0.000 0.500 1
Sn3 Sn 0.816 0.816 0.000 1

No. 12
# PBE-GGA PrNdAu6, optimized geometry
# * total moment: 0.00 μB/f.u.
# * total energy: -4.315 eV per atom
# * theoretical density: 13.93 g/cm3
# * energy relative to the elements: -0.66 eV per atom
data_PrNdAu6
_symmetry_space_group_name_H-M 'P 1'
_symmetry_Int_Tables_number 1
_cell_length_a 5.633
_cell_length_b 5.634
_cell_length_c 5.634
_cell_angle_alpha 96.79
_cell_angle_beta 96.61
_cell_angle_gamma 96.65
loop_
_symmetry_equiv_pos_as_xyz
'x,y,z'
loop_
_atom_site_label
_atom_site_type_symbol
_atom_site_fract_x
_atom_site_fract_y
_atom_site_fract_z
_atom_site_occupancy
Pr1 Pr 0.000 0.000 0.000 1
Nd1 Nd 0.500 0.500 0.500 1
Au1 Au 0.028 0.749 0.472 1
Au2 Au 0.251 0.527 0.973 1
Au3 Au 0.473 0.028 0.749 1
Au4 Au 0.527 0.972 0.251 1
Au5 Au 0.749 0.473 0.027 1
Au6 Au 0.972 0.251 0.528 1

What is the total moment in the third record?
0.00 μB/f.u.

total moment of number 12 (PrNdAu6)?
0.00 μB/f.u.

Which of these has the lowest total energy?
Ta2TiBe6

total moment of number 7 (NdSm4Si4)?
0.00 μB/f.u.